# SrCa4Sb, optimized geometry, DFT PBE
# Total magnetization: 0.001 μB/cell
# Raw formation energy: 0.040 eV/atom
data_SrCa4Sb
_cell_length_a 6.965
_cell_length_b 6.965
_cell_length_c 6.965
_cell_angle_alpha 60.00
_cell_angle_beta 60.00
_cell_angle_gamma 60.00
_symmetry_space_group_name_H-M 'P 1'
_symmetry_Int_Tables_number 1
loop_
_symmetry_equiv_pos_as_xyz
'x,y,z'
loop_
_atom_site_label
_atom_site_type_symbol
_atom_site_fract_x
_atom_site_fract_y
_atom_site_fract_z
Sr1 Sr 0.000 0.000 0.000
Ca1 Ca 0.872 0.376 0.376
Ca2 Ca 0.376 0.376 0.872
Ca3 Ca 0.376 0.872 0.376
Ca4 Ca 0.376 0.376 0.376
Sb1 Sb 0.750 0.750 0.750

# HfTi3Ir4, optimized geometry, DFT PBE
# Calculated total energy: -151.530 eV per cell
# Total magnetization: 0.000 μB/cell
data_HfTi3Ir4
_cell_length_a 4.708
_cell_length_b 5.894
_cell_length_c 9.105
_cell_angle_alpha 90.00
_cell_angle_beta 90.00
_cell_angle_gamma 90.00
_symmetry_space_group_name_H-M 'P 1'
_symmetry_Int_Tables_number 1
loop_
_symmetry_equiv_pos_as_xyz
'x,y,z'
loop_
_atom_site_label
_atom_site_type_symbol
_atom_site_fract_x
_atom_site_fract_y
_atom_site_fract_z
Ir1 Ir 0.500 0.755 0.000
Ir2 Ir 0.500 0.755 0.500
Ir3 Ir 0.500 0.245 0.000
Ir4 Ir 0.500 0.245 0.500
Ir5 Ir 0.089 0.757 0.750
Ir6 Ir 0.911 0.757 0.250
Ir7 Ir 0.911 0.243 0.250
Ir8 Ir 0.089 0.243 0.750
Hf1 Hf 0.000 0.500 0.000
Hf2 Hf 0.000 0.500 0.500
Ti1 Ti 0.000 0.000 0.000
Ti2 Ti 0.000 0.000 0.500
Ti3 Ti 0.574 0.000 0.750
Ti4 Ti 0.426 0.000 0.250
Ti5 Ti 0.555 0.500 0.750
Ti6 Ti 0.445 0.500 0.250

# Ba2BeCl, optimized geometry, DFT PBE
# Total magnetization: 0.606 μB/cell
# Raw formation energy: -0.572 eV/atom
data_Ba2BeCl
_cell_length_a 6.638
_cell_length_b 4.661
_cell_length_c 4.665
_cell_angle_alpha 90.00
_cell_angle_beta 90.00
_cell_angle_gamma 90.00
_symmetry_space_group_name_H-M 'P 1'
_symmetry_Int_Tables_number 1
loop_
_symmetry_equiv_pos_as_xyz
'x,y,z'
loop_
_atom_site_label
_atom_site_type_symbol
_atom_site_fract_x
_atom_site_fract_y
_atom_site_fract_z
Be1 Be 0.000 0.379 0.373
Ba1 Ba 0.000 0.876 0.874
Ba2 Ba 0.500 0.372 0.377
Cl1 Cl 0.500 0.873 0.876

# La4TlPbO, optimized geometry, DFT PBE
# Total magnetization: 0.000 μB/cell
# Raw formation energy: -1.138 eV/atom
data_La4TlPbO
_cell_length_a 6.881
_cell_length_b 6.863
_cell_length_c 9.679
_cell_angle_alpha 90.00
_cell_angle_beta 110.82
_cell_angle_gamma 90.00
_symmetry_space_group_name_H-M 'P 1'
_symmetry_Int_Tables_number 1
loop_
_symmetry_equiv_pos_as_xyz
'x,y,z'
loop_
_atom_site_label
_atom_site_type_symbol
_atom_site_fract_x
_atom_site_fract_y
_atom_site_fract_z
La1 La 0.920 0.250 0.840
La2 La 0.436 0.750 0.873
La3 La 0.080 0.750 0.160
La4 La 0.564 0.250 0.127
La5 La 0.500 0.500 0.500
La6 La 0.000 0.000 0.500
La7 La 0.500 0.000 0.500
La8 La 0.000 0.500 0.500
Tl1 Tl 0.614 0.750 0.229
Tl2 Tl 0.386 0.250 0.771
Pb1 Pb 0.110 0.250 0.220
Pb2 Pb 0.890 0.750 0.780
O1 O 0.212 0.750 0.424
O2 O 0.788 0.250 0.576

# Tb5Pr12Ho2, optimized geometry, DFT PBE
# Calculated total energy: -87.276 eV per cell
# Total magnetization: 0.000 μB/cell
data_Tb5Pr12Ho2
_cell_length_a 10.729
_cell_length_b 9.355
_cell_length_c 8.142
_cell_angle_alpha 86.82
_cell_angle_beta 90.00
_cell_angle_gamma 124.99
_symmetry_space_group_name_H-M 'P 1'
_symmetry_Int_Tables_number 1
loop_
_symmetry_equiv_pos_as_xyz
'x,y,z'
loop_
_atom_site_label
_atom_site_type_symbol
_atom_site_fract_x
_atom_site_fract_y
_atom_site_fract_z
Tb1 Tb 0.242 0.483 0.514
Tb2 Tb 0.344 0.687 0.095
Tb3 Tb 0.000 0.000 0.500
Tb4 Tb 0.656 0.313 0.905
Tb5 Tb 0.758 0.517 0.486
Pr1 Pr 0.870 0.740 0.105
Pr2 Pr 0.040 0.631 0.792
Pr3 Pr 0.592 0.631 0.792
Pr4 Pr 0.166 0.787 0.385
Pr5 Pr 0.621 0.787 0.385
Pr6 Pr 0.446 0.891 0.713
Pr7 Pr 0.554 0.109 0.287
Pr8 Pr 0.834 0.213 0.615
Pr9 Pr 0.379 0.213 0.615
Pr10 Pr 0.960 0.369 0.208
Pr11 Pr 0.408 0.369 0.208
Pr12 Pr 0.130 0.260 0.895
Ho1 Ho 0.730 0.000 0.000
Ho2 Ho 0.270 0.000 0.000

# Zn3Te2, optimized geometry, DFT PBE
# Total magnetization: 0.000 μB/cell
# Raw formation energy: -0.090 eV/atom
data_Zn3Te2
_cell_length_a 10.374
_cell_length_b 8.751
_cell_length_c 6.969
_cell_angle_alpha 81.73
_cell_angle_beta 56.60
_cell_angle_gamma 41.67
_symmetry_space_group_name_H-M 'P 1'
_symmetry_Int_Tables_number 1
loop_
_symmetry_equiv_pos_as_xyz
'x,y,z'
loop_
_atom_site_label
_atom_site_type_symbol
_atom_site_fract_x
_atom_site_fract_y
_atom_site_fract_z
Zn1 Zn 0.574 0.277 0.450
Zn2 Zn 0.699 0.450 0.277
Zn3 Zn 0.973 0.676 0.551
Zn4 Zn 0.800 0.551 0.676
Zn5 Zn 0.025 0.975 0.975
Zn6 Zn 0.275 0.225 0.225
Te1 Te 0.534 0.538 0.761
Te2 Te 0.167 0.761 0.538
Te3 Te 0.712 0.716 0.083
Te4 Te 0.489 0.083 0.716

# TaN2Cl, optimized geometry, DFT PBE
# Total magnetization: 0.000 μB/cell
# Raw formation energy: 1.262 eV/atom
data_TaN2Cl
_cell_length_a 3.951
_cell_length_b 3.951
_cell_length_c 3.951
_cell_angle_alpha 60.00
_cell_angle_beta 60.00
_cell_angle_gamma 60.00
_symmetry_space_group_name_H-M 'P 1'
_symmetry_Int_Tables_number 1
loop_
_symmetry_equiv_pos_as_xyz
'x,y,z'
loop_
_atom_site_label
_atom_site_type_symbol
_atom_site_fract_x
_atom_site_fract_y
_atom_site_fract_z
N1 N 0.250 0.250 0.250
N2 N 0.750 0.750 0.750
Cl1 Cl 0.000 0.000 0.000
Ta1 Ta 0.500 0.500 0.500

# CoIrRu2, optimized geometry, DFT PBE
# Calculated total energy: -34.012 eV per cell
# Total magnetization: 1.811 μB/cell
data_CoIrRu2
_cell_length_a 8.744
_cell_length_b 8.744
_cell_length_c 8.744
_cell_angle_alpha 17.74
_cell_angle_beta 17.74
_cell_angle_gamma 17.74
_symmetry_space_group_name_H-M 'P 1'
_symmetry_Int_Tables_number 1
loop_
_symmetry_equiv_pos_as_xyz
'x,y,z'
loop_
_atom_site_label
_atom_site_type_symbol
_atom_site_fract_x
_atom_site_fract_y
_atom_site_fract_z
Co1 Co 0.500 0.500 0.500
Ir1 Ir 0.752 0.752 0.752
Ru1 Ru 0.999 0.999 0.999
Ru2 Ru 0.249 0.249 0.249

# TiCr3Pt, optimized geometry, DFT PBE
# Calculated total energy: -36.527 eV per cell
# Total magnetization: 8.819 μB/cell
data_TiCr3Pt
_cell_length_a 4.775
_cell_length_b 4.775
_cell_length_c 4.775
_cell_angle_alpha 90.00
_cell_angle_beta 90.00
_cell_angle_gamma 90.00
_symmetry_space_group_name_H-M 'P 1'
_symmetry_Int_Tables_number 1
loop_
_symmetry_equiv_pos_as_xyz
'x,y,z'
loop_
_atom_site_label
_atom_site_type_symbol
_atom_site_fract_x
_atom_site_fract_y
_atom_site_fract_z
Cr1 Cr 0.000 0.500 0.000
Cr2 Cr 0.000 0.000 0.500
Cr3 Cr 0.500 0.000 0.000
Pt1 Pt 0.000 0.000 0.000
Ti1 Ti 0.500 0.500 0.500

# LiGeF6, optimized geometry, DFT PBE
# Total magnetization: 1.058 μB/cell
# Raw formation energy: -2.219 eV/atom
data_LiGeF6
_cell_length_a 5.438
_cell_length_b 5.438
_cell_length_c 5.438
_cell_angle_alpha 60.00
_cell_angle_beta 60.00
_cell_angle_gamma 60.00
_symmetry_space_group_name_H-M 'P 1'
_symmetry_Int_Tables_number 1
loop_
_symmetry_equiv_pos_as_xyz
'x,y,z'
loop_
_atom_site_label
_atom_site_type_symbol
_atom_site_fract_x
_atom_site_fract_y
_atom_site_fract_z
Li1 Li 0.500 0.500 0.500
Ge1 Ge 0.000 0.000 0.000
F1 F 0.763 0.763 0.237
F2 F 0.763 0.237 0.237
F3 F 0.237 0.763 0.763
F4 F 0.237 0.237 0.763
F5 F 0.237 0.763 0.237
F6 F 0.763 0.237 0.763

# Dy3Ag2Hg6, optimized geometry, DFT PBE
# Calculated total energy: -23.157 eV per cell
# Total magnetization: 0.000 μB/cell
data_Dy3Ag2Hg6
_cell_length_a 4.180
_cell_length_b 4.180
_cell_length_c 16.244
_cell_angle_alpha 97.39
_cell_angle_beta 97.39
_cell_angle_gamma 90.00
_symmetry_space_group_name_H-M 'P 1'
_symmetry_Int_Tables_number 1
loop_
_symmetry_equiv_pos_as_xyz
'x,y,z'
loop_
_atom_site_label
_atom_site_type_symbol
_atom_site_fract_x
_atom_site_fract_y
_atom_site_fract_z
Dy1 Dy 0.000 0.000 0.000
Dy2 Dy 0.826 0.826 0.651
Dy3 Dy 0.174 0.174 0.349
Ag1 Ag 0.359 0.359 0.719
Ag2 Ag 0.641 0.641 0.281
Hg1 Hg 0.074 0.574 0.148
Hg2 Hg 0.574 0.074 0.148
Hg3 Hg 0.926 0.426 0.852
Hg4 Hg 0.426 0.926 0.852
Hg5 Hg 0.728 0.728 0.456
Hg6 Hg 0.272 0.272 0.544

# PtRhS, optimized geometry, DFT PBE
# Total magnetization: 0.000 μB/cell
# Raw formation energy: -0.126 eV/atom
data_PtRhS
_cell_length_a 3.813
_cell_length_b 5.390
_cell_length_c 5.432
_cell_angle_alpha 119.82
_cell_angle_beta 90.12
_cell_angle_gamma 99.79
_symmetry_space_group_name_H-M 'P 1'
_symmetry_Int_Tables_number 1
loop_
_symmetry_equiv_pos_as_xyz
'x,y,z'
loop_
_atom_site_label
_atom_site_type_symbol
_atom_site_fract_x
_atom_site_fract_y
_atom_site_fract_z
S1 S 0.909 0.216 0.895
S2 S 0.257 0.635 0.619
Rh1 Rh 0.577 0.918 0.466
Rh2 Rh 0.481 0.485 0.911
Pt1 Pt 0.677 0.354 0.347
Pt2 Pt 0.078 0.921 0.091